[1]
The following is a GGA-PBE calculation of a relaxed ZrV3C crystal, from Alexandria.

Cell: 3.133 7.933 10.612 Å, 90.00 90.00 90.00°
Fractional positions:
Zr: 0.750 0.824 0.982
Zr: 0.250 0.676 0.482
Zr: 0.750 0.324 0.518
Zr: 0.250 0.176 0.018
V: 0.250 0.547 0.081
V: 0.750 0.453 0.919
V: 0.250 0.047 0.419
V: 0.750 0.953 0.581
V: 0.250 0.398 0.736
V: 0.750 0.102 0.236
V: 0.250 0.898 0.764
V: 0.750 0.652 0.723
V: 0.250 0.348 0.277
V: 0.750 0.152 0.777
V: 0.750 0.602 0.264
V: 0.250 0.848 0.223
C: 0.250 0.134 0.634
C: 0.250 0.634 0.866
C: 0.750 0.366 0.134
C: 0.750 0.866 0.366

Results
**Symmetry**: No. 62
**Calculated volume**: 13.186 A^3/atom
**Density**: 6.45 g/cm³

***

[2]
The following is a GGA-PBE calculation of a relaxed ZrV3C crystal, from Alexandria.

Cell: 4.109 4.109 4.109 Å, 90.00 90.00 90.00°
Fractional positions:
C: 0.000 0.000 0.000
Zr: 0.500 0.500 0.500
V: 0.000 0.500 0.000
V: 0.000 0.000 0.500
V: 0.500 0.000 0.000

Results
**Symmetry**: No. 221
**Calculated volume**: 13.879 A^3/atom
**Density**: 6.13 g/cm³

***

DFT total energy: -185.52, -45.75 (eV per cell)
Formation enthalpy at 0 K: -0.251, -0.124 (eV/atom)